[1]
Here is a geometry-optimized NdGd2Tl3AgPt2 structure from the Open Quantum Materials Database. Energies are from PBE.

abc: 3.8513 7.9970 7.9970
angles: 120.25 90.00 90.00
Last column: nearest neighbours and their distance in Å.
Positions (direct):
Nd: 0.0000 0.0000 0.0000  4 Pt 3.12, 6 Tl 3.21-3.48, 1 Ag 3.29
Gd: 0.0000 0.4113 0.8238  4 Pt 3.07, 2 Tl 3.20, 1 Ag 3.29
Gd: 0.0000 0.8238 0.4113  4 Pt 3.07, 2 Tl 3.20, 1 Ag 3.29
Tl: 0.5000 0.1439 0.4129  2 Ag 2.89, 2 Pt 2.92-2.97, 2 Gd 3.20
Tl: 0.5000 0.4129 0.1439  2 Ag 2.89, 2 Pt 2.92-2.97, 2 Gd 3.20
Tl: 0.5000 0.6783 0.6783  2 Ag 2.86, 2 Pt 2.99
Ag: 0.0000 0.4128 0.4128  6 Tl 2.86-2.89
Pt: 0.5000 0.0797 0.7414  3 Tl 2.92-2.99, 4 Gd 3.07, 2 Nd 3.12
Pt: 0.5000 0.7414 0.0797  3 Tl 2.92-2.99, 4 Gd 3.07, 2 Nd 3.12

Results
Raw total energy (eV/cell): -42.06
Space group: Amm2 (38)

=====

[2]
Here is a geometry-optimized BaMgFeTe structure from the Open Quantum Materials Database. Energies are from PBE.

abc: 7.7411 7.7411 7.7411
angles: 90.00 90.00 90.00
Last column: nearest neighbours and their distance in Å.
Positions (direct):
Ba: 0.0000 0.0000 0.0000  4 Te 3.35, 4 Mg 3.35
Ba: 0.0000 0.5000 0.5000  4 Te 3.35, 4 Mg 3.35
Ba: 0.5000 0.0000 0.5000  4 Te 3.35, 4 Mg 3.35
Ba: 0.5000 0.5000 0.0000  4 Te 3.35, 4 Mg 3.35
Mg: 0.2500 0.2500 0.7500  4 Ba 3.35, 4 Fe 3.35
Mg: 0.2500 0.7500 0.2500  4 Ba 3.35, 4 Fe 3.35
Mg: 0.7500 0.2500 0.2500  4 Ba 3.35, 4 Fe 3.35
Mg: 0.7500 0.7500 0.7500  4 Fe 3.35, 4 Ba 3.35
Fe: 0.0000 0.0000 0.5000  4 Mg 3.35, 4 Te 3.35
Fe: 0.0000 0.5000 0.0000  4 Mg 3.35, 4 Te 3.35
Fe: 0.5000 0.0000 0.0000  4 Mg 3.35, 4 Te 3.35
Fe: 0.5000 0.5000 0.5000  4 Mg 3.35, 4 Te 3.35
Te: 0.2500 0.2500 0.2500  4 Ba 3.35, 4 Fe 3.35
Te: 0.2500 0.7500 0.7500  4 Ba 3.35, 4 Fe 3.35
Te: 0.7500 0.2500 0.7500  4 Ba 3.35, 4 Fe 3.35
Te: 0.7500 0.7500 0.2500  4 Ba 3.35, 4 Fe 3.35

Results
Raw total energy (eV/cell): -56.55
Space group: F-43m (216)

=====

[3]
Here is a geometry-optimized Rb2FePdI6 structure from the Open Quantum Materials Database. Energies are from PBE.

abc: 8.0213 8.0213 8.0213
angles: 120.27 120.27 89.54
Last column: nearest neighbours and their distance in Å.
Positions (direct):
Rb: 0.2500 0.7500 0.5000  12 I 4.00-4.01
Rb: 0.7500 0.2500 0.5000  12 I 4.00-4.01
Fe: 0.0000 0.0000 0.0000  6 I 2.76-2.83
Pd: 0.5000 0.5000 0.0000  6 I 2.82-2.93
I: 0.2425 0.2425 0.0000  1 Fe 2.76, 1 Pd 2.93
I: 0.2502 0.2502 0.5004  1 Pd 2.82, 1 Fe 2.83
I: 0.2502 0.7498 0.0000  1 Pd 2.82, 1 Fe 2.83
I: 0.7498 0.2502 0.0000  1 Pd 2.82, 1 Fe 2.83
I: 0.7498 0.7498 0.4996  1 Pd 2.82, 1 Fe 2.83
I: 0.7575 0.7575 0.0000  1 Fe 2.76, 1 Pd 2.93

Results
Raw total energy (eV/cell): -30.96
Space group: I4/mmm (139)

=====

[4]
Here is a geometry-optimized CuHg2W structure from the Open Quantum Materials Database. Energies are from PBE.

abc: 6.6027 6.6027 6.6027
angles: 90.00 90.00 90.00
Last column: nearest neighbours and their distance in Å.
Positions (direct):
Cu: 0.0000 0.0000 0.0000  4 W 2.86, 4 Hg 2.86
Cu: 0.0000 0.5000 0.5000  4 W 2.86, 4 Hg 2.86
Cu: 0.5000 0.0000 0.5000  4 W 2.86, 4 Hg 2.86
Cu: 0.5000 0.5000 0.0000  4 W 2.86, 4 Hg 2.86
Hg: 0.0000 0.0000 0.5000  4 Hg 2.86, 4 W 2.86
Hg: 0.0000 0.5000 0.0000  4 Hg 2.86, 4 W 2.86
Hg: 0.2500 0.2500 0.7500  4 Hg 2.86, 4 Cu 2.86
Hg: 0.2500 0.7500 0.2500  4 Hg 2.86, 4 Cu 2.86
Hg: 0.5000 0.0000 0.0000  4 Hg 2.86, 4 W 2.86
Hg: 0.5000 0.5000 0.5000  4 Hg 2.86, 4 W 2.86
Hg: 0.7500 0.2500 0.2500  4 Hg 2.86, 4 Cu 2.86
Hg: 0.7500 0.7500 0.7500  4 Cu 2.86, 4 Hg 2.86
W: 0.2500 0.2500 0.2500  4 Hg 2.86, 4 Cu 2.86
W: 0.2500 0.7500 0.7500  4 Hg 2.86, 4 Cu 2.86
W: 0.7500 0.2500 0.7500  4 Hg 2.86, 4 Cu 2.86
W: 0.7500 0.7500 0.2500  4 Hg 2.86, 4 Cu 2.86

Results
ΔE_f (eV per atom): 0.987
Space group: F-43m (216)

=====

[5]
Here is a geometry-optimized BeBPt2 structure from the Open Quantum Materials Database. Energies are from PBE.

abc: 5.8629 5.8629 5.8629
angles: 90.00 90.00 90.00
Last column: nearest neighbours and their distance in Å.
Positions (direct):
Be: 0.0000 0.0000 0.0000  4 B 2.54, 4 Pt 2.54
Be: 0.0000 0.5000 0.5000  4 B 2.54, 4 Pt 2.54
Be: 0.5000 0.0000 0.5000  4 B 2.54, 4 Pt 2.54
Be: 0.5000 0.5000 0.0000  4 B 2.54, 4 Pt 2.54
B: 0.2500 0.2500 0.7500  4 Be 2.54, 4 Pt 2.54
B: 0.2500 0.7500 0.2500  4 Be 2.54, 4 Pt 2.54
B: 0.7500 0.2500 0.2500  4 Be 2.54, 4 Pt 2.54
B: 0.7500 0.7500 0.7500  4 Be 2.54, 4 Pt 2.54
Pt: 0.0000 0.0000 0.5000  4 B 2.54, 4 Pt 2.54
Pt: 0.0000 0.5000 0.0000  4 B 2.54, 4 Pt 2.54
Pt: 0.2500 0.2500 0.2500  4 Be 2.54, 4 Pt 2.54
Pt: 0.2500 0.7500 0.7500  4 Be 2.54, 4 Pt 2.54
Pt: 0.5000 0.0000 0.0000  4 B 2.54, 4 Pt 2.54
Pt: 0.5000 0.5000 0.5000  4 B 2.54, 4 Pt 2.54
Pt: 0.7500 0.2500 0.7500  4 Be 2.54, 4 Pt 2.54
Pt: 0.7500 0.7500 0.2500  4 Be 2.54, 4 Pt 2.54

Results
Raw total energy (eV/cell): -81.43
Space group: F-43m (216)

=====

[6]
Here is a geometry-optimized HfMgNiGe structure from the Open Quantum Materials Database. Energies are from PBE.

abc: 6.4011 6.4011 6.4011
angles: 90.00 90.00 90.00
Last column: nearest neighbours and their distance in Å.
Positions (direct):
Hf: 0.0000 0.0000 0.0000  4 Ge 2.77, 4 Mg 2.77
Hf: 0.0000 0.5000 0.5000  4 Ge 2.77, 4 Mg 2.77
Hf: 0.5000 0.0000 0.5000  4 Ge 2.77, 4 Mg 2.77
Hf: 0.5000 0.5000 0.0000  4 Ge 2.77, 4 Mg 2.77
Mg: 0.2500 0.2500 0.7500  4 Hf 2.77, 4 Ni 2.77
Mg: 0.2500 0.7500 0.2500  4 Hf 2.77, 4 Ni 2.77
Mg: 0.7500 0.2500 0.2500  4 Hf 2.77, 4 Ni 2.77
Mg: 0.7500 0.7500 0.7500  4 Hf 2.77, 4 Ni 2.77
Ni: 0.0000 0.0000 0.5000  4 Mg 2.77, 4 Ge 2.77
Ni: 0.0000 0.5000 0.0000  4 Mg 2.77, 4 Ge 2.77
Ni: 0.5000 0.0000 0.0000  4 Mg 2.77, 4 Ge 2.77
Ni: 0.5000 0.5000 0.5000  4 Ge 2.77, 4 Mg 2.77
Ge: 0.2500 0.2500 0.2500  4 Hf 2.77, 4 Ni 2.77
Ge: 0.2500 0.7500 0.7500  4 Ni 2.77, 4 Hf 2.77
Ge: 0.7500 0.2500 0.7500  4 Ni 2.77, 4 Hf 2.77
Ge: 0.7500 0.7500 0.2500  4 Ni 2.77, 4 Hf 2.77

Results
Raw total energy (eV/cell): -86.68
Space group: F-43m (216)

=====

[7]
Here is a geometry-optimized CsAgMoS3 structure from the Open Quantum Materials Database. Energies are from PBE.

abc: 8.0600 8.0600 9.8831
angles: 90.00 90.00 152.47
Last column: nearest neighbours and their distance in Å.
Positions (direct):
Cs: 0.2500 0.7500 0.7500  8 S 3.53-3.71, 2 Ag 3.78, 2 Cs 3.84
Cs: 0.7500 0.2500 0.2500  8 S 3.53-3.71, 2 Ag 3.78, 2 Cs 3.84
Ag: 0.0420 0.9580 0.2500  4 S 2.42-2.50
Ag: 0.9580 0.0420 0.7500  4 S 2.42-2.50
Mo: 0.5000 0.5000 0.0000  6 S 2.54-2.65
Mo: 0.5000 0.5000 0.5000  6 S 2.54-2.65
S: 0.1047 0.8953 0.0261  1 Ag 2.42, 2 Mo 2.54
S: 0.1047 0.8953 0.4739  1 Ag 2.42, 2 Mo 2.54
S: 0.4391 0.5609 0.2500  2 Ag 2.50, 2 Mo 2.65
S: 0.5609 0.4391 0.7500  2 Ag 2.50, 2 Mo 2.65
S: 0.8953 0.1047 0.5261  1 Ag 2.42, 2 Mo 2.54
S: 0.8953 0.1047 0.9739  1 Ag 2.42, 2 Mo 2.54

Results
Raw total energy (eV/cell): -59.15
Space group: Cmcm (63)

=====

[8]
Here is a geometry-optimized RbCuMoPd structure from the Open Quantum Materials Database. Energies are from PBE.

abc: 6.8609 6.8609 6.8609
angles: 90.00 90.00 90.00
Last column: nearest neighbours and their distance in Å.
Positions (direct):
Rb: 0.0000 0.0000 0.0000  4 Mo 2.97, 4 Pd 2.97
Rb: 0.0000 0.5000 0.5000  4 Mo 2.97, 4 Pd 2.97
Rb: 0.5000 0.0000 0.5000  4 Mo 2.97, 4 Pd 2.97
Rb: 0.5000 0.5000 0.0000  4 Mo 2.97, 4 Pd 2.97
Cu: 0.0000 0.0000 0.5000  4 Mo 2.97, 4 Pd 2.97
Cu: 0.0000 0.5000 0.0000  4 Mo 2.97, 4 Pd 2.97
Cu: 0.5000 0.0000 0.0000  4 Mo 2.97, 4 Pd 2.97
Cu: 0.5000 0.5000 0.5000  4 Mo 2.97, 4 Pd 2.97
Mo: 0.2500 0.2500 0.7500  4 Rb 2.97, 4 Cu 2.97
Mo: 0.2500 0.7500 0.2500  4 Rb 2.97, 4 Cu 2.97
Mo: 0.7500 0.2500 0.2500  4 Rb 2.97, 4 Cu 2.97
Mo: 0.7500 0.7500 0.7500  4 Rb 2.97, 4 Cu 2.97
Pd: 0.2500 0.2500 0.2500  4 Rb 2.97, 4 Cu 2.97
Pd: 0.2500 0.7500 0.7500  4 Rb 2.97, 4 Cu 2.97
Pd: 0.7500 0.2500 0.7500  4 Rb 2.97, 4 Cu 2.97
Pd: 0.7500 0.7500 0.2500  4 Rb 2.97, 4 Cu 2.97

Results
Raw total energy (eV/cell): -61.21
Space group: F-43m (216)

=====

| no. | total magnetization (μB per cell) |
| --- | --- |
| 1 | 0.00 |
| 2 | 12.22 |
| 3 | 3.60 |
| 4 | 8.58 |
| 5 | 0.01 |
| 6 | 0.00 |
| 7 | 3.99 |
| 8 | 15.84 |